VASP calculation (PBE) on a relaxed CaYTi2Te crystal.

As for the formation energy from raw total energies: 0.93 eV/atom. The calculation puts the calculated volume at 130.6 Å³ per cell. For the final energy, the calculation gives -4.5536 eV/atom. For the density of states at the Fermi level, the calculation gives 5.726 states/eV/cell.

It has space group P4/mmm (No. 123), with a = 4.822 Å, b = 4.822 Å, c = 5.619 Å, α = 90.00°, β = 90.00° and γ = 90.00°. The asymmetric unit holds Ca at (0.000, 0.000, 0.000), Y at (0.500, 0.500, 0.500), Ti at (0.000, 0.500, 0.000) and Te at (0.000, 0.000, 0.500).